Entry 1:
First-principles (GGA-PBE) data for a geometry-optimized NpIn2I4Cl2 structure, as listed in Alexandria via LeMat-Bulk.

abc: 7.194 8.187 8.187
angles: 61.89 73.68 73.68
Positions (direct):
In: 0.282 0.728 0.728
In: 0.718 0.272 0.272
I: 0.311 0.157 0.656
I: 0.689 0.344 0.843
I: 0.311 0.656 0.157
I: 0.689 0.843 0.344
Cl: 0.803 0.839 0.839
Cl: 0.197 0.161 0.161
Np: 0.500 0.000 0.000

Output
The energy relative to the elements, uncorrected is -19.859 kcal/mol of atoms. Its density of states at the Fermi level is 0.54 states/eV/atom.

=====

Entry 2:
First-principles (GGA-PBE) data for a geometry-optimized K2AgPbCl5 structure, as listed in Alexandria via LeMat-Bulk.

abc: 4.326 9.469 13.459
angles: 90.00 90.00 103.21
Positions (direct):
Cl: 0.499 0.999 0.778
Cl: 0.636 0.271 0.503
Cl: 0.364 0.729 0.003
Cl: 0.701 0.402 0.865
Cl: 0.052 0.105 0.056
Cl: 0.948 0.895 0.556
Cl: 0.717 0.434 0.159
Cl: 0.501 0.001 0.278
Cl: 0.299 0.598 0.365
Cl: 0.283 0.566 0.659
K: 0.125 0.250 0.304
K: 0.875 0.750 0.804
K: 0.107 0.213 0.687
K: 0.893 0.787 0.187
Ag: 0.482 0.964 0.463
Ag: 0.518 0.036 0.963
Pb: 0.210 0.420 0.010
Pb: 0.790 0.580 0.510

Output
The energy relative to the elements, uncorrected is -31.504 kcal/mol of atoms. Its density of states at the Fermi level is 0.00 states/eV/atom.

=====

Entry 3:
First-principles (GGA-PBE) data for a geometry-optimized CuSI2O structure, as listed in Alexandria via LeMat-Bulk.

abc: 5.657 5.657 3.514
angles: 90.00 90.00 90.00
Positions (direct):
S: 0.500 0.500 0.500
O: 0.000 0.000 0.500
I: 0.500 0.000 0.000
I: 0.000 0.500 0.000
Cu: 0.000 0.000 0.000

Output
Its distance to the lowest polymorph of the same formula is 79.9 meV per atom. The energy relative to the elements, uncorrected is 11.076 kcal/mol of atoms. Its density of states at the Fermi level is 1.90 states/eV/atom.

=====

Entry 4:
First-principles (GGA-PBE) data for a geometry-optimized LiHN3 structure, as listed in Alexandria via LeMat-Bulk.

abc: 3.202 3.202 3.202
angles: 90.00 90.00 90.00
Positions (direct):
N: 0.500 0.000 0.000
N: 0.000 0.000 0.500
N: 0.000 0.500 0.000
H: 0.000 0.000 0.000
Li: 0.500 0.500 0.500

Output
Its density of states at the Fermi level is 0.36 states/eV/atom.

=====

Entry 5:
First-principles (GGA-PBE) data for a geometry-optimized NbCrNi2H structure, as listed in Alexandria via LeMat-Bulk.

abc: 3.677 3.677 3.952
angles: 90.00 90.00 90.00
Positions (direct):
H: 0.000 0.000 0.000
Ni: 0.000 0.500 0.000
Ni: 0.500 0.000 0.000
Nb: 0.500 0.500 0.500
Cr: 0.000 0.000 0.500

Output
Its density of states at the Fermi level is 0.54 states/eV/atom.

=====

Entry 6:
First-principles (GGA-PBE) data for a geometry-optimized Tl2CdBiO6 structure, as listed in Alexandria via LeMat-Bulk.

abc: 5.859 5.860 6.123
angles: 61.43 61.44 59.99
Positions (direct):
Bi: 0.313 0.313 0.062
O: 0.210 0.926 0.251
O: 0.926 0.613 0.251
O: 0.411 0.700 0.761
O: 0.128 0.411 0.761
O: 0.700 0.128 0.761
O: 0.613 0.210 0.251
Tl: 0.529 0.529 0.412
Tl: 0.026 0.026 0.921
Cd: 0.805 0.805 0.584

Output
The energy relative to the elements, uncorrected is -19.217 kcal/mol of atoms. Its density of states at the Fermi level is 0.33 states/eV/atom.

=====

Entry 7:
First-principles (GGA-PBE) data for a geometry-optimized Cs2MgGeSe4 structure, as listed in Alexandria via LeMat-Bulk.

abc: 6.304 7.989 13.483
angles: 84.71 76.48 66.76
Positions (direct):
Se: 0.230 0.188 0.898
Se: 0.878 0.688 0.602
Se: 0.581 0.188 0.102
Se: 0.520 0.312 0.602
Se: 0.872 0.812 0.898
Se: 0.433 0.688 0.398
Se: 0.317 0.812 0.102
Se: 0.169 0.312 0.398
Cs: 0.820 0.000 0.359
Cs: 0.930 0.500 0.141
Cs: 0.180 0.000 0.641
Cs: 0.570 0.500 0.859
Mg: 0.750 0.500 0.500
Mg: 0.000 0.000 0.000
Ge: 0.250 0.500 0.500
Ge: 0.500 0.000 0.000

Output
The energy relative to the elements, uncorrected is -23.011 kcal/mol of atoms. Its density of states at the Fermi level is 0.00 states/eV/atom.

=====

Entry 8:
First-principles (GGA-PBE) data for a geometry-optimized CdOsC3 structure, as listed in Alexandria via LeMat-Bulk.

abc: 4.045 4.045 4.045
angles: 90.00 90.00 90.00
Positions (direct):
Cd: 0.500 0.500 0.500
C: 0.500 0.000 0.000
C: 0.000 0.000 0.500
C: 0.000 0.500 0.000
Os: 0.000 0.000 0.000

Output
Its distance to the lowest polymorph of the same formula is 0.0 meV per atom. Its density of states at the Fermi level is 0.78 states/eV/atom. The calculation puts the energy relative to the elements at 43.27 kcal/mol of atoms.

=====

Entry 9:
First-principles (GGA-PBE) data for a geometry-optimized Ti2CuHOs structure, as listed in Alexandria via LeMat-Bulk.

abc: 4.758 3.008 4.758
angles: 90.00 90.00 90.00
Positions (direct):
Os: 0.500 0.500 0.500
Ti: 0.500 0.000 0.000
Ti: 0.000 0.000 0.500
H: 0.000 0.500 0.000
Cu: 0.000 0.000 0.000

Output
Its distance to the lowest polymorph of the same formula is 747.3 meV per atom. Its density of states at the Fermi level is 0.60 states/eV/atom.

=====

Entry 10:
First-principles (GGA-PBE) data for a geometry-optimized PdPtPb2O4 structure, as listed in Alexandria via LeMat-Bulk.

abc: 5.212 6.270 10.159
angles: 83.88 75.14 65.44
Positions (direct):
O: 0.106 0.772 0.853
O: 0.708 0.272 0.647
O: 0.731 0.228 0.147
O: 0.122 0.772 0.147
O: 0.019 0.272 0.353
O: 0.644 0.728 0.647
O: 0.042 0.228 0.853
O: 0.628 0.728 0.353
Pd: 0.750 0.500 0.500
Pd: 0.000 0.000 0.000
Pb: 0.921 0.500 0.158
Pb: 0.171 0.000 0.658
Pb: 0.579 0.500 0.842
Pb: 0.829 0.000 0.342
Pt: 0.250 0.500 0.500
Pt: 0.500 0.000 0.000

Output
The energy relative to the elements, uncorrected is -4.845 kcal/mol of atoms. Its density of states at the Fermi level is 0.84 states/eV/atom.

=====

Entry 11:
First-principles (GGA-PBE) data for a geometry-optimized TlCN2O structure, as listed in Alexandria via LeMat-Bulk.

abc: 4.451 4.451 4.340
angles: 90.00 90.00 90.00
Positions (direct):
Tl: 0.000 0.000 0.000
N: 0.000 0.500 0.000
N: 0.500 0.000 0.000
C: 0.500 0.500 0.500
O: 0.000 0.000 0.500

Output
The energy relative to the elements, uncorrected is 72.007 kcal/mol of atoms. Its density of states at the Fermi level is 0.52 states/eV/atom.

=====

Entry 12:
First-principles (GGA-PBE) data for a geometry-optimized LaMgI5 structure, as listed in Alexandria via LeMat-Bulk.

abc: 11.850 12.004 12.210
angles: 76.90 90.00 90.00
Positions (direct):
La: 0.250 0.500 0.250
La: 0.250 0.500 0.750
La: 0.750 0.500 0.750
La: 0.750 0.500 0.250
I: 0.001 0.085 0.634
I: 0.201 0.232 0.315
I: 0.298 0.768 0.184
I: 0.499 0.085 0.134
I: 0.202 0.768 0.684
I: 0.798 0.232 0.316
I: 0.701 0.768 0.185
I: 0.501 0.915 0.866
I: 0.678 0.500 0.500
I: 0.999 0.915 0.366
I: 0.000 0.561 0.310
I: 0.299 0.232 0.815
I: 0.500 0.561 0.810
I: 0.822 0.500 0.000
I: 0.500 0.439 0.190
I: 0.178 0.500 0.000
I: 0.799 0.768 0.685
I: 0.702 0.232 0.816
I: 0.322 0.500 0.500
I: 0.000 0.439 0.690
Mg: 0.000 0.135 0.402
Mg: 0.500 0.135 0.902
Mg: 0.500 0.865 0.098
Mg: 0.000 0.865 0.598

Output
Its distance to the lowest polymorph of the same formula is 48.7 meV per atom. The energy relative to the elements, uncorrected is -29.054 kcal/mol of atoms. Its density of states at the Fermi level is 0.00 states/eV/atom.

=====

no.,VASP energy (eV/atom)
1,-4.007
2,-3.365
3,-2.776
4,-3.998
5,-6.991
6,-4.761
7,-3.730
8,-6.087
9,-6.448
10,-5.020
11,-3.517
12,-3.299